A plane-wave DFT calculation with PBE was carried out for crystalline CoTcHg2 at its relaxed geometry.

Lattice parameters (Å, degrees): 4.099 4.099 4.081 90.00 90.00 90.00
Space group P4/mmm (No. 123)
Inequivalent atoms, fractional coordinates:
1 Co 0.000 0.000 0.000
2 Tc 0.500 0.500 0.000
3 Hg 0.000 0.500 0.500

Values from the calculation:
- DFT formation energy: 651 meV/atom
- Total moment: 0.90 μB/atom
- N(E_F): 1.07 states/eV per atom
- Polymorph energy (0 for the lowest one): 0.3178 eV per atom
- Total energy: -15.47 eV for the cell shown

---

A plane-wave DFT calculation with PBE was carried out for crystalline BeAlHg at its relaxed geometry.

Lattice parameters (Å, degrees): 3.758 4.726 6.211 107.83 107.28 90.33
Space group P1 (No. 1)
Inequivalent atoms, fractional coordinates:
1 Be 0.000 0.000 0.000
2 Be 0.447 0.749 0.897
3 Al 0.064 0.568 0.133
4 Al 0.641 0.091 0.284
5 Hg 0.373 0.211 0.748
6 Hg 0.771 0.673 0.548

Values from the calculation:
- DFT formation energy: 242 meV/atom
- Total moment: 0.00 μB/atom
- N(E_F): 0.34 states/eV per atom
- Polymorph energy (0 for the lowest one): 0.0713 eV per atom
- Total energy: -14.09 eV for the cell shown

---

A plane-wave DFT calculation with PBE was carried out for crystalline La2Ga2Pd3 at its relaxed geometry.

Lattice parameters (Å, degrees): 4.211 19.501 7.341 90.00 90.00 90.00
Space group Cmcm (No. 63)
Inequivalent atoms, fractional coordinates:
1 La 0.000 0.062 0.250
2 La 0.000 0.151 0.750
3 Ga 0.000 0.306 0.560
4 Pd 0.000 0.228 0.250
5 Pd 0.000 0.433 0.049

Values from the calculation:
- DFT formation energy: -839 meV/atom
- Total moment: 0.00 μB/atom
- N(E_F): 0.57 states/eV per atom
- Polymorph energy (0 for the lowest one): 0.0000 eV per atom
- Total energy: -149.45 eV for the cell shown